A geometry-optimized CuRhCS structure. Source: Alexandria via LeMat-Bulk, functional PBE.

The space group is Cm (No. 8) and the conventional cell measures 8.527, 3.199 and 4.331 Å, with angles of 90.00, 95.38 and 90.00 degrees. The asymmetric unit holds Cu at (0.000, 0.000, 0.000), Rh at (0.270, 0.000, 0.740), C at (0.274, 0.500, 0.013) and S at (0.163, 0.500, 0.333).

Its formation energy (no corrections) is 436 meV/atom. The final energy comes out at -5.764 eV per atom. As for the energy above the lowest structure with this stoichiometry: 0.39 eV/f.u.